Entry from the Alexandria database: AgSb2 after structural relaxation (PBE).

Computed properties:
ΔE_f (raw) (meV per atom): 157
M_tot (μB per formula unit): 0.0

a = 6.813 Å, b = 4.126 Å, c = 11.130 Å
α = 90.00°, β = 90.00°, γ = 90.00°
Fractional coordinates of all 12 atoms:
1 Ag 0.153 0.250 0.148
2 Ag 0.347 0.750 0.648
3 Ag 0.653 0.250 0.352
4 Ag 0.847 0.750 0.852
5 Sb 0.008 0.750 0.326
6 Sb 0.239 0.750 0.954
7 Sb 0.261 0.250 0.454
8 Sb 0.492 0.250 0.826
9 Sb 0.508 0.750 0.174
10 Sb 0.739 0.750 0.546
11 Sb 0.761 0.250 0.046
12 Sb 0.992 0.250 0.674

Entry from the Alexandria database: Ca2Mg2Bi2As after structural relaxation (PBE).

Computed properties:
M_tot (μB per formula unit): 0.0
Energy of formation from the pure elements (eV/atom): -0.57

a = 9.124 Å, b = 9.124 Å, c = 9.124 Å
α = 148.42°, β = 148.42°, γ = 45.27°
Fractional coordinates of all 7 atoms:
1 Ca 0.172 0.172 0.000
2 Ca 0.828 0.828 0.000
3 Mg 0.000 0.500 0.500
4 Mg 0.500 0.000 0.500
5 Bi 0.364 0.364 0.000
6 Bi 0.636 0.636 0.000
7 As 0.000 0.000 0.000